[1]
An optimized crystal structure of Tb3Rh2Au3. Source: Alexandria, functional PBE.

Lattice parameters (Å, degrees): 7.2777 7.2777 3.6916 90.00 90.00 120.00
Space group P-62m (No. 189)
Symmetry-distinct sites (fractional):
Tb 0.0000 0.4048 0.0000 [3 per cell]
Rh 0.3333 0.6667 0.5000 [2 per cell]
Au 0.0000 0.7692 0.5000 [3 per cell]

Properties
total DFT energy (no corrections)	-5.652	eV/atom
formation enthalpy at 0 K	-0.85	eV/atom

---

[2]
An optimized crystal structure of KMg2ReI. Source: Alexandria, functional PBE.

Lattice parameters (Å, degrees): 6.926 6.926 6.295 90.00 90.00 90.00
Space group P4/mmm (No. 123)
Symmetry-distinct sites (fractional):
K 0.000 0.000 0.000 [1 per cell]
Mg 0.000 0.500 0.000 [2 per cell]
Re 0.500 0.500 0.500 [1 per cell]
I 0.000 0.000 0.500 [1 per cell]

Properties
energy relative to the elements, uncorrected	1.62	eV/atom
total DFT energy (no corrections)	-2.041	eV/atom

---

[3]
An optimized crystal structure of TlAg2Pd. Source: Alexandria, functional PBE.

Lattice parameters (Å, degrees): 4.111 4.111 4.417 90.00 90.00 90.00
Space group P4/mmm (No. 123)
Symmetry-distinct sites (fractional):
Tl 0.000 0.000 0.000 [1 per cell]
Ag 0.000 0.500 0.500 [2 per cell]
Pd 0.500 0.500 0.000 [1 per cell]

Properties
offset from the most stable computed form	0	meV/atom
total DFT energy (no corrections)	-3.340	eV/atom
formation enthalpy at 0 K	-0.02	eV/atom

---

Which of these has the lowest total DFT energy (no corrections)?
Tb3Rh2Au3

---

The lowest total DFT energy (no corrections) belongs to which entry?
Tb3Rh2Au3